[1]
Here is a relaxed Ho4TmSc3 crystal from Alexandria via LeMat-Bulk. Energies are from PBE.

a = 6.817 Å, b = 6.817 Å, c = 5.933 Å
α = 106.82°, β = 106.82°, γ = 60.45°
Atoms (fractional coordinates):
Ho  0.000  0.500  0.000
Ho  0.248  0.248  0.495
Ho  0.500  0.000  0.000
Ho  0.752  0.752  0.505
Tm  0.500  0.500  0.000
Sc  0.000  0.000  0.000
Sc  0.248  0.752  0.500
Sc  0.752  0.248  0.500

## Properties
As for the relative energy among the computed polymorphs: 32 meV per atom. The calculated volume is 28.25 A^3/atom. Its formation energy is 0.051 eV/atom. Its density of states at the Fermi level is 1.5063 states/eV/atom. Its space group is C2/m.

***

[2]
Here is a relaxed Ho5Tm2Sc5 crystal from Alexandria via LeMat-Bulk. Energies are from PBE.

a = 7.625 Å, b = 7.625 Å, c = 10.820 Å
α = 115.15°, β = 115.15°, γ = 36.67°
Atoms (fractional coordinates):
Ho  0.000  0.000  0.000
Ho  0.164  0.164  0.498
Ho  0.248  0.248  0.246
Ho  0.752  0.752  0.754
Ho  0.836  0.836  0.502
Tm  0.083  0.083  0.753
Tm  0.917  0.917  0.247
Sc  0.332  0.332  0.999
Sc  0.418  0.418  0.752
Sc  0.500  0.500  0.500
Sc  0.582  0.582  0.248
Sc  0.668  0.668  0.001

## Properties
The calculated volume is 27.99 A^3/atom. Its formation energy is 0.050 eV/atom. Its density of states at the Fermi level is 1.5761 states/eV/atom. Its space group is C2/m.

***

[3]
Here is a relaxed Ho7TmSc2 crystal from Alexandria via LeMat-Bulk. Energies are from PBE.

a = 8.709 Å, b = 8.709 Å, c = 5.501 Å
α = 90.00°, β = 90.00°, γ = 119.86°
Atoms (fractional coordinates):
Ho  0.000  0.000  0.000
Ho  0.200  0.438  0.000
Ho  0.263  0.737  0.500
Ho  0.438  0.200  0.000
Ho  0.562  0.800  0.000
Ho  0.737  0.263  0.500
Ho  0.800  0.562  0.000
Tm  0.500  0.500  0.500
Sc  0.206  0.794  0.000
Sc  0.794  0.206  0.000

## Properties
The calculated volume is 36.18 A^3/atom. Its formation energy is 0.667 eV/atom. Its density of states at the Fermi level is 1.4135 states/eV/atom. Its space group is Cmmm.

***

[4]
Here is a relaxed Ho4Tm15Sc crystal from Alexandria via LeMat-Bulk. Energies are from PBE.

a = 4.925 Å, b = 4.925 Å, c = 24.624 Å
α = 90.00°, β = 90.00°, γ = 90.00°
Atoms (fractional coordinates):
Ho  0.000  0.000  0.101
Ho  0.000  0.000  0.302
Ho  0.000  0.000  0.698
Ho  0.000  0.000  0.899
Tm  0.000  0.500  0.000
Tm  0.000  0.500  0.201
Tm  0.000  0.500  0.403
Tm  0.000  0.500  0.597
Tm  0.000  0.500  0.799
Tm  0.500  0.000  0.000
Tm  0.500  0.000  0.201
Tm  0.500  0.000  0.403
Tm  0.500  0.000  0.597
Tm  0.500  0.000  0.799
Tm  0.500  0.500  0.101
Tm  0.500  0.500  0.302
Tm  0.500  0.500  0.500
Tm  0.500  0.500  0.698
Tm  0.500  0.500  0.899
Sc  0.000  0.000  0.500

## Properties
The calculated volume is 29.87 A^3/atom. Its formation energy is 0.030 eV/atom. Its density of states at the Fermi level is 1.3964 states/eV/atom. Its space group is P4/mmm.

***

[5]
Here is a relaxed Ho2Tm3Sc3 crystal from Alexandria via LeMat-Bulk. Energies are from PBE.

a = 10.249 Å, b = 10.249 Å, c = 10.249 Å
α = 152.97°, β = 152.60°, γ = 38.87°
Atoms (fractional coordinates):
Ho  0.249  0.249  0.000
Ho  0.751  0.751  0.000
Tm  0.000  0.000  0.000
Tm  0.378  0.878  0.500
Tm  0.622  0.122  0.500
Sc  0.123  0.623  0.500
Sc  0.500  0.500  0.000
Sc  0.877  0.377  0.500

## Properties
As for the relative energy among the computed polymorphs: 0 meV per atom. The calculated volume is 28.09 A^3/atom. Its formation energy is 0.050 eV/atom. Its density of states at the Fermi level is 1.6273 states/eV/atom. Its space group is Immm.

***

[6]
Here is a relaxed HoTm2Sc2 crystal from Alexandria via LeMat-Bulk. Energies are from PBE.

a = 13.857 Å, b = 6.862 Å, c = 5.943 Å
α = 90.00°, β = 98.09°, γ = 90.00°
Atoms (fractional coordinates):
Ho  0.197  0.123  0.149
Ho  0.197  0.377  0.649
Ho  0.803  0.623  0.351
Ho  0.803  0.877  0.851
Tm  0.197  0.627  0.146
Tm  0.197  0.873  0.646
Tm  0.401  0.124  0.881
Tm  0.401  0.376  0.381
Tm  0.599  0.624  0.619
Tm  0.599  0.876  0.119
Tm  0.803  0.127  0.354
Tm  0.803  0.373  0.854
Sc  0.000  0.125  0.750
Sc  0.000  0.375  0.250
Sc  0.000  0.625  0.750
Sc  0.000  0.875  0.250
Sc  0.400  0.626  0.885
Sc  0.400  0.874  0.385
Sc  0.600  0.126  0.615
Sc  0.600  0.374  0.115

## Properties
As for the relative energy among the computed polymorphs: 0 meV per atom. The calculated volume is 27.97 A^3/atom. Its formation energy is 0.041 eV/atom. Its density of states at the Fermi level is 1.5649 states/eV/atom. Its space group is P2_1/c.

***

[7]
Here is a relaxed Ho12Tm7Sc crystal from Alexandria via LeMat-Bulk. Energies are from PBE.

a = 11.217 Å, b = 11.217 Å, c = 11.217 Å
α = 116.86°, β = 116.86°, γ = 116.86°
Atoms (fractional coordinates):
Ho  0.001  0.414  0.585
Ho  0.077  0.081  0.431
Ho  0.081  0.431  0.077
Ho  0.414  0.585  0.001
Ho  0.415  0.999  0.586
Ho  0.431  0.077  0.081
Ho  0.569  0.923  0.919
Ho  0.585  0.001  0.414
Ho  0.586  0.415  0.999
Ho  0.919  0.569  0.923
Ho  0.923  0.919  0.569
Ho  0.999  0.586  0.415
Tm  0.000  0.000  0.000
Tm  0.142  0.386  0.383
Tm  0.383  0.142  0.386
Tm  0.386  0.383  0.142
Tm  0.614  0.617  0.858
Tm  0.617  0.858  0.614
Tm  0.858  0.614  0.617
Sc  0.500  0.500  0.500

## Properties
As for the relative energy among the computed polymorphs: 68 meV per atom. The calculated volume is 31.80 A^3/atom. Its formation energy is 0.253 eV/atom. Its density of states at the Fermi level is 1.4066 states/eV/atom. Its space group is R-3.

***

[8]
Here is a relaxed Ho5TmSc5 crystal from Alexandria via LeMat-Bulk. Energies are from PBE.

a = 5.763 Å, b = 5.763 Å, c = 11.209 Å
α = 90.00°, β = 90.00°, γ = 120.00°
Atoms (fractional coordinates):
Ho  0.000  0.000  0.000
Ho  0.333  0.667  0.318
Ho  0.333  0.667  0.682
Ho  0.667  0.333  0.160
Ho  0.667  0.333  0.840
Tm  0.333  0.667  0.000
Sc  0.000  0.000  0.269
Sc  0.000  0.000  0.731
Sc  0.330  0.165  0.500
Sc  0.835  0.165  0.500
Sc  0.835  0.670  0.500

## Properties
The calculated volume is 29.30 A^3/atom. Its formation energy is 0.247 eV/atom. Its density of states at the Fermi level is 2.0095 states/eV/atom. Its space group is P-6m2.

***

[9]
Here is a relaxed Ho7TmSc4 crystal from Alexandria via LeMat-Bulk. Energies are from PBE.

a = 8.224 Å, b = 8.224 Å, c = 9.348 Å
α = 118.93°, β = 118.93°, γ = 40.65°
Atoms (fractional coordinates):
Ho  0.000  0.000  0.000
Ho  0.257  0.257  0.722
Ho  0.293  0.293  0.119
Ho  0.413  0.413  0.557
Ho  0.587  0.587  0.443
Ho  0.707  0.707  0.881
Ho  0.743  0.743  0.278
Tm  0.500  0.500  0.000
Sc  0.054  0.054  0.703
Sc  0.168  0.168  0.347
Sc  0.832  0.832  0.653
Sc  0.946  0.946  0.297

## Properties
As for the relative energy among the computed polymorphs: 238 meV per atom. The calculated volume is 29.40 A^3/atom. Its formation energy is 0.257 eV/atom. Its density of states at the Fermi level is 1.6603 states/eV/atom. Its space group is C2/m.

***

[10]
Here is a relaxed Ho8Tm4Sc crystal from Alexandria via LeMat-Bulk. Energies are from PBE.

a = 9.857 Å, b = 9.857 Å, c = 9.857 Å
α = 42.64°, β = 42.64°, γ = 42.64°
Atoms (fractional coordinates):
Ho  0.201  0.747  0.747
Ho  0.216  0.216  0.216
Ho  0.253  0.253  0.799
Ho  0.253  0.799  0.253
Ho  0.747  0.201  0.747
Ho  0.747  0.747  0.201
Ho  0.784  0.784  0.784
Ho  0.799  0.253  0.253
Tm  0.000  0.000  0.000
Tm  0.000  0.500  0.500
Tm  0.500  0.000  0.500
Tm  0.500  0.500  0.000
Sc  0.500  0.500  0.500

## Properties
The calculated volume is 30.62 A^3/atom. Its formation energy is 0.202 eV/atom. Its density of states at the Fermi level is 1.4722 states/eV/atom. Its space group is R-3m.

***

[11]
Here is a relaxed HoTm2Sc5 crystal from Alexandria via LeMat-Bulk. Energies are from PBE.

a = 6.527 Å, b = 6.527 Å, c = 6.527 Å
α = 109.51°, β = 109.51°, γ = 109.39°
Atoms (fractional coordinates):
Ho  0.000  0.000  0.000
Tm  0.001  0.501  0.500
Tm  0.501  0.001  0.500
Sc  0.001  0.001  0.500
Sc  0.001  0.500  0.000
Sc  0.500  0.001  0.000
Sc  0.500  0.500  0.500
Sc  0.501  0.501  0.000

## Properties
As for the relative energy among the computed polymorphs: 57 meV per atom. The calculated volume is 26.76 A^3/atom. Its formation energy is 0.115 eV/atom. Its density of states at the Fermi level is 2.1302 states/eV/atom. Its space group is I4mm.

***

[12]
Here is a relaxed Ho16Tm7Sc6 crystal from Alexandria via LeMat-Bulk. Energies are from PBE.

a = 10.867 Å, b = 10.867 Å, c = 10.867 Å
α = 60.00°, β = 60.00°, γ = 60.00°
Atoms (fractional coordinates):
Ho  0.071  0.643  0.643
Ho  0.125  0.125  0.125
Ho  0.125  0.125  0.626
Ho  0.125  0.626  0.125
Ho  0.357  0.357  0.357
Ho  0.357  0.357  0.929
Ho  0.357  0.929  0.357
Ho  0.374  0.875  0.875
Ho  0.626  0.125  0.125
Ho  0.643  0.071  0.643
Ho  0.643  0.643  0.071
Ho  0.643  0.643  0.643
Ho  0.875  0.374  0.875
Ho  0.875  0.875  0.374
Ho  0.875  0.875  0.875
Ho  0.929  0.357  0.357
Tm  0.000  0.000  0.000
Tm  0.000  0.000  0.500
Tm  0.000  0.500  0.000
Tm  0.000  0.500  0.500
Tm  0.500  0.000  0.000
Tm  0.500  0.000  0.500
Tm  0.500  0.500  0.000
Sc  0.257  0.257  0.743
Sc  0.257  0.743  0.257
Sc  0.257  0.743  0.743
Sc  0.743  0.257  0.257
Sc  0.743  0.257  0.743
Sc  0.743  0.743  0.257

## Properties
The calculated volume is 31.29 A^3/atom. Its formation energy is 0.266 eV/atom. Its density of states at the Fermi level is 1.5303 states/eV/atom. Its space group is Fm-3m.

***

[13]
Here is a relaxed Ho6Tm2Sc5 crystal from Alexandria via LeMat-Bulk. Energies are from PBE.

a = 11.280 Å, b = 19.212 Å, c = 3.458 Å
α = 90.00°, β = 90.00°, γ = 90.00°
Atoms (fractional coordinates):
Ho  0.058  0.080  0.000
Ho  0.089  0.366  0.000
Ho  0.171  0.626  0.500
Ho  0.329  0.126  0.500
Ho  0.411  0.866  0.000
Ho  0.442  0.580  0.000
Ho  0.558  0.420  0.000
Ho  0.589  0.134  0.000
Ho  0.671  0.874  0.500
Ho  0.829  0.374  0.500
Ho  0.911  0.634  0.000
Ho  0.942  0.920  0.000
Tm  0.153  0.787  0.000
Tm  0.347  0.287  0.000
Tm  0.653  0.713  0.000
Tm  0.847  0.213  0.000
Sc  0.000  0.500  0.500
Sc  0.104  0.224  0.500
Sc  0.197  0.947  0.500
Sc  0.303  0.447  0.500
Sc  0.396  0.724  0.500
Sc  0.500  0.000  0.500
Sc  0.604  0.276  0.500
Sc  0.697  0.553  0.500
Sc  0.803  0.053  0.500
Sc  0.896  0.776  0.500

## Properties
The calculated volume is 28.82 A^3/atom. Its formation energy is 0.118 eV/atom. Its density of states at the Fermi level is 1.4332 states/eV/atom. Its space group is Pbam.

***

[14]
Here is a relaxed Ho7Tm3Sc crystal from Alexandria via LeMat-Bulk. Energies are from PBE.

a = 6.716 Å, b = 5.398 Å, c = 9.724 Å
α = 90.00°, β = 104.79°, γ = 90.00°
Atoms (fractional coordinates):
Ho  0.000  0.000  0.000
Ho  0.162  0.500  0.286
Ho  0.314  0.500  0.626
Ho  0.456  0.000  0.827
Ho  0.544  0.000  0.173
Ho  0.686  0.500  0.374
Ho  0.838  0.500  0.714
Tm  0.000  0.000  0.500
Tm  0.268  0.500  0.980
Tm  0.732  0.500  0.020
Sc  0.500  0.000  0.500

## Properties
As for the relative energy among the computed polymorphs: 0 meV per atom. The calculated volume is 30.98 A^3/atom. Its formation energy is 0.157 eV/atom. Its density of states at the Fermi level is 1.5211 states/eV/atom. Its space group is P2/m.

***

[15]
Here is a relaxed Ho6Tm3Sc crystal from Alexandria via LeMat-Bulk. Energies are from PBE.

a = 10.788 Å, b = 10.788 Å, c = 6.079 Å
α = 90.00°, β = 90.00°, γ = 119.96°
Atoms (fractional coordinates):
Ho  0.047  0.468  0.926
Ho  0.048  0.952  0.500
Ho  0.278  0.722  0.217
Ho  0.289  0.382  0.109
Ho  0.382  0.289  0.609
Ho  0.468  0.047  0.426
Ho  0.532  0.953  0.926
Ho  0.618  0.711  0.109
Ho  0.711  0.618  0.609
Ho  0.722  0.278  0.717
Ho  0.952  0.048  0.000
Ho  0.953  0.532  0.426
Tm  0.055  0.275  0.528
Tm  0.275  0.055  0.028
Tm  0.389  0.611  0.642
Tm  0.611  0.389  0.142
Tm  0.725  0.945  0.528
Tm  0.945  0.725  0.028
Sc  0.206  0.794  0.708
Sc  0.794  0.206  0.208

## Properties
As for the relative energy among the computed polymorphs: 0 meV per atom. The calculated volume is 30.65 A^3/atom. Its formation energy is 0.143 eV/atom. Its density of states at the Fermi level is 1.4719 states/eV/atom. Its space group is Cmc2_1.

***

[16]
Here is a relaxed Ho10Tm4Sc crystal from Alexandria via LeMat-Bulk. Energies are from PBE.

a = 8.517 Å, b = 8.517 Å, c = 8.517 Å
α = 111.01°, β = 111.01°, γ = 106.44°
Atoms (fractional coordinates):
Ho  0.051  0.948  0.675
Ho  0.052  0.727  0.103
Ho  0.250  0.750  0.500
Ho  0.273  0.376  0.325
Ho  0.376  0.051  0.103
Ho  0.624  0.949  0.897
Ho  0.727  0.624  0.675
Ho  0.750  0.250  0.500
Ho  0.948  0.273  0.897
Ho  0.949  0.052  0.325
Tm  0.175  0.568  0.743
Tm  0.432  0.175  0.607
Tm  0.568  0.825  0.393
Tm  0.825  0.432  0.257
Sc  0.500  0.500  0.000

## Properties
The calculated volume is 31.64 A^3/atom. Its formation energy is 0.383 eV/atom. Its density of states at the Fermi level is 1.5628 states/eV/atom. Its space group is I4/m.

***

[17]
Here is a relaxed Ho4Tm3Sc5 crystal from Alexandria via LeMat-Bulk. Energies are from PBE.

a = 8.157 Å, b = 8.157 Å, c = 9.178 Å
α = 117.57°, β = 117.57°, γ = 40.41°
Atoms (fractional coordinates):
Ho  0.086  0.086  0.443
Ho  0.210  0.210  0.882
Ho  0.790  0.790  0.118
Ho  0.914  0.914  0.557
Tm  0.227  0.227  0.258
Tm  0.500  0.500  0.000
Tm  0.773  0.773  0.742
Sc  0.000  0.000  0.000
Sc  0.332  0.332  0.636
Sc  0.438  0.438  0.297
Sc  0.562  0.562  0.703
Sc  0.668  0.668  0.364

## Properties
The calculated volume is 28.70 A^3/atom. Its formation energy is 0.247 eV/atom. Its density of states at the Fermi level is 1.6491 states/eV/atom. Its space group is C2/m.

***

[18]
Here is a relaxed Ho19Tm6Sc4 crystal from Alexandria via LeMat-Bulk. Energies are from PBE.

a = 10.595 Å, b = 10.595 Å, c = 10.595 Å
α = 109.47°, β = 109.47°, γ = 109.47°
Atoms (fractional coordinates):
Ho  0.000  0.000  0.000
Ho  0.000  0.261  0.261
Ho  0.000  0.739  0.739
Ho  0.016  0.211  0.673
Ho  0.195  0.984  0.658
Ho  0.211  0.673  0.016
Ho  0.261  0.000  0.261
Ho  0.261  0.261  0.000
Ho  0.327  0.538  0.342
Ho  0.342  0.327  0.538
Ho  0.462  0.789  0.805
Ho  0.538  0.342  0.327
Ho  0.658  0.195  0.984
Ho  0.673  0.016  0.211
Ho  0.739  0.000  0.739
Ho  0.739  0.739  0.000
Ho  0.789  0.805  0.462
Ho  0.805  0.462  0.789
Ho  0.984  0.658  0.195
Tm  0.129  0.500  0.629
Tm  0.371  0.871  0.500
Tm  0.500  0.371  0.871
Tm  0.500  0.629  0.129
Tm  0.629  0.129  0.500
Tm  0.871  0.500  0.371
Sc  0.000  0.000  0.354
Sc  0.000  0.354  0.000
Sc  0.354  0.000  0.000
Sc  0.646  0.646  0.646

## Properties
The calculated volume is 31.57 A^3/atom. Its formation energy is 0.391 eV/atom. Its density of states at the Fermi level is 1.7184 states/eV/atom. Its space group is I23.